Record 1
VASP calculation (GGA-PBE) on a geometry-optimized CdFe2Se structure.

Lattice parameters (Å, degrees): 3.8667 6.3253 6.3253 28.62 90.00 90.00
With the nearest neighbours (Å) after each atom.
Element x y z (fractional)
Cd  0.0000  0.0000  0.0000  4 Fe 2.75-2.84, 2 Se 2.95
Fe  0.0000  0.6842  0.6842  4 Fe 2.49, 2 Se 2.54, 2 Cd 2.75
Fe  0.5000  0.1697  0.1697  2 Se 2.40, 4 Fe 2.49
Se  0.5000  0.8181  0.8181  4 Fe 2.40-2.54

ΔE_f (raw): 4.2 kcal/mol of atoms
Crystal system: orthorhombic
ρ: 6.79 Mg/m³
Spin magnetization: 5.14 μB per cell

=====

Record 2
VASP calculation (GGA-PBE) on a geometry-optimized Ga2CoTc2 structure.

Lattice parameters (Å, degrees): 6.0471 6.0471 3.8430 90.00 90.00 90.00
With the nearest neighbours (Å) after each atom.
Element x y z (fractional)
Ga  0.1418  0.3582  0.0000  2 Co 2.33, 1 Ga 2.43, 2 Tc 2.52
Ga  0.3582  0.8582  0.0000  2 Co 2.33, 1 Ga 2.43, 2 Tc 2.52
Ga  0.6418  0.1418  0.0000  2 Co 2.33, 1 Ga 2.43, 2 Tc 2.52
Ga  0.8582  0.6418  0.0000  2 Co 2.33, 1 Ga 2.43, 2 Tc 2.52
Co  0.0000  0.0000  0.0000  4 Ga 2.33
Co  0.5000  0.5000  0.0000  4 Ga 2.33
Tc  0.1683  0.6683  0.5000  6 Ga 2.52-2.69
Tc  0.3317  0.1683  0.5000  6 Ga 2.52-2.69
Tc  0.6683  0.8317  0.5000  6 Ga 2.52-2.69
Tc  0.8317  0.3317  0.5000  6 Ga 2.52-2.69

Calculated formation energy: 123 meV per atom
Crystal system: tetragonal
Energy above the most stable polymorph in this dataset: 0.000 eV per atom
ρ: 9.32 Mg/m³
Spin magnetization: 2.29 μB per cell

=====

Record 3
VASP calculation (GGA-PBE) on a geometry-optimized AcNd7Er4 structure.

Lattice parameters (Å, degrees): 8.6614 8.6614 9.5412 115.18 115.18 41.48
With the nearest neighbours (Å) after each atom.
Element x y z (fractional)
Ac  0.0000  0.0000  0.0000  4 Nd 3.07-3.40
Nd  0.0925  0.0925  0.4645  3 Nd 3.36-3.64, 3 Er 3.50-3.59
Nd  0.2178  0.2178  0.8924  6 Nd 3.47-3.68, 4 Er 3.66-3.88
Nd  0.2287  0.2287  0.2637  4 Er 3.21-3.48, 1 Ac 3.40, 2 Nd 3.47-3.52
Nd  0.5000  0.5000  0.0000  2 Ac 3.07, 2 Er 3.24
Nd  0.7713  0.7713  0.7363  4 Er 3.21-3.48, 1 Ac 3.40, 2 Nd 3.47-3.52
Nd  0.7822  0.7822  0.1076  6 Nd 3.47-3.68, 4 Er 3.66-3.88
Nd  0.9075  0.9075  0.5355  3 Nd 3.36-3.64, 3 Er 3.50-3.59
Er  0.3350  0.3350  0.6423  7 Nd 3.22-3.59, 1 Er 3.50
Er  0.4355  0.4355  0.2987  2 Nd 3.21-3.45, 2 Er 3.44-3.50
Er  0.5645  0.5645  0.7013  2 Nd 3.21-3.45, 2 Er 3.44-3.50
Er  0.6650  0.6650  0.3577  7 Nd 3.22-3.59, 1 Er 3.50

Calculated formation energy: 232 meV per atom
Crystal system: monoclinic
Energy above the most stable polymorph in this dataset: 0.219 eV per atom
ρ: 7.50 Mg/m³
Spin magnetization: 0.25 μB per cell

=====

Record 4
VASP calculation (GGA-PBE) on a geometry-optimized Nb2TcSN structure.

Lattice parameters (Å, degrees): 4.5608 4.5608 4.2421 90.00 90.00 90.00
With the nearest neighbours (Å) after each atom.
Element x y z (fractional)
Nb  0.0000  0.5000  0.0000  2 S 2.28
Nb  0.5000  0.0000  0.0000  2 S 2.28
Tc  0.0000  0.0000  0.5000  2 S 2.12
S  0.0000  0.0000  0.0000  2 Tc 2.12, 4 Nb 2.28
N  0.5000  0.5000  0.5000  8 Nb 3.11, 4 Tc 3.22

ΔE_f (raw): 29.2 kcal/mol of atoms
Crystal system: tetragonal
ρ: 6.21 Mg/m³
Spin magnetization: 0.00 μB per cell

=====

Record 5
VASP calculation (GGA-PBE) on a geometry-optimized LiPd2Pb2 structure.

Lattice parameters (Å, degrees): 7.8473 7.8473 3.4575 90.00 90.00 90.00
With the nearest neighbours (Å) after each atom.
Element x y z (fractional)
Li  0.0000  0.0000  0.0000  4 Pb 2.96
Li  0.5000  0.5000  0.0000  4 Pb 2.96
Pd  0.1397  0.3603  0.5000  6 Pb 2.85-2.90, 1 Pd 3.10
Pd  0.3603  0.8603  0.5000  6 Pb 2.85-2.90, 1 Pd 3.10
Pd  0.6397  0.1397  0.5000  6 Pb 2.85-2.90, 1 Pd 3.10
Pd  0.8603  0.6397  0.5000  6 Pb 2.85-2.90, 1 Pd 3.10
Pb  0.1564  0.6564  0.0000  6 Pd 2.85-2.90, 2 Li 2.96
Pb  0.3436  0.1564  0.0000  6 Pd 2.85-2.90, 2 Li 2.96
Pb  0.6564  0.8436  0.0000  6 Pd 2.85-2.90, 2 Li 2.96
Pb  0.8436  0.3436  0.0000  6 Pd 2.85-2.90, 2 Li 2.96

Calculated formation energy: -218 meV per atom
Crystal system: tetragonal
Energy above the most stable polymorph in this dataset: 0.103 eV per atom
ρ: 9.89 Mg/m³
Spin magnetization: 0.00 μB per cell

=====

Record 6
VASP calculation (GGA-PBE) on a geometry-optimized In2SiOs structure.

Lattice parameters (Å, degrees): 5.0198 5.0198 5.0198 130.29 130.29 72.95
With the nearest neighbours (Å) after each atom.
Element x y z (fractional)
In  0.0000  0.0000  0.0000  4 In 2.92, 4 Os 2.92, 4 Si 2.98
In  0.7500  0.2500  0.5000  4 Si 2.92, 4 In 2.92, 4 Os 2.98
Si  0.5000  0.5000  0.0000  8 In 2.92-2.98, 4 Os 2.92
Os  0.2500  0.7500  0.5000  4 Si 2.92, 8 In 2.92-2.98

ΔE_f (raw): 13.6 kcal/mol of atoms
Crystal system: tetragonal
ρ: 10.35 Mg/m³
Spin magnetization: 0.00 μB per cell

=====

Record 7
VASP calculation (GGA-PBE) on a geometry-optimized MgMnOs2 structure.

Lattice parameters (Å, degrees): 3.8434 3.8434 3.9276 90.00 90.00 90.00
With the nearest neighbours (Å) after each atom.
Element x y z (fractional)
Mg  0.0000  0.0000  0.0000  4 Mn 2.72, 8 Os 2.75
Mn  0.5000  0.5000  0.0000  4 Mg 2.72, 8 Os 2.75
Os  0.0000  0.5000  0.5000  4 Os 2.72, 4 Mn 2.75, 4 Mg 2.75
Os  0.5000  0.0000  0.5000  4 Os 2.72, 4 Mn 2.75, 4 Mg 2.75

Calculated formation energy: 324 meV per atom
Crystal system: tetragonal
ρ: 13.16 Mg/m³
Spin magnetization: 2.59 μB per cell

=====

Record 8
VASP calculation (GGA-PBE) on a geometry-optimized BaAl3 structure.

Lattice parameters (Å, degrees): 5.9815 5.9815 5.9815 90.00 90.00 90.00
With the nearest neighbours (Å) after each atom.
Element x y z (fractional)
Ba  0.0000  0.0000  0.0000  12 Al 3.34
Ba  0.5000  0.5000  0.5000  12 Al 3.34
Al  0.0000  0.2500  0.5000  2 Al 2.99, 4 Ba 3.34
Al  0.0000  0.7500  0.5000  2 Al 2.99, 4 Ba 3.34
Al  0.2500  0.5000  0.0000  2 Al 2.99, 4 Ba 3.34
Al  0.5000  0.0000  0.2500  2 Al 2.99, 4 Ba 3.34
Al  0.5000  0.0000  0.7500  2 Al 2.99, 4 Ba 3.34
Al  0.7500  0.5000  0.0000  2 Al 2.99, 4 Ba 3.34

Calculated formation energy: 328 meV per atom
Crystal system: cubic
ρ: 3.39 Mg/m³
Spin magnetization: 0.00 μB per cell

=====

Record 9
VASP calculation (GGA-PBE) on a geometry-optimized BaReMo2 structure.

Lattice parameters (Å, degrees): 5.0605 5.0605 6.2834 102.76 102.76 37.83
With the nearest neighbours (Å) after each atom.
Element x y z (fractional)
Ba  0.0000  0.0000  0.0000  2 Ba 3.28, 6 Mo 3.43-3.60, 4 Re 3.54
Re  0.5000  0.5000  0.5000  4 Mo 2.57
Mo  0.2094  0.2094  0.6247  2 Mo 2.51, 2 Re 2.57
Mo  0.7906  0.7906  0.3753  2 Mo 2.51, 2 Re 2.57

Calculated formation energy: 836 meV per atom
Crystal system: monoclinic
Energy above the most stable polymorph in this dataset: 0.090 eV per atom
ρ: 8.92 Mg/m³
Spin magnetization: 0.00 μB per cell

=====

Record 10
VASP calculation (GGA-PBE) on a geometry-optimized Ce2SiHg structure.

Lattice parameters (Å, degrees): 3.8243 3.8243 6.8057 90.00 90.00 90.00
With the nearest neighbours (Å) after each atom.
Element x y z (fractional)
Ce  0.0000  0.0000  0.2039  1 Ce 2.77, 4 Si 3.04
Ce  0.0000  0.0000  0.7961  1 Ce 2.77, 4 Si 3.04
Si  0.5000  0.5000  0.0000  8 Ce 3.04, 2 Hg 3.40
Hg  0.5000  0.5000  0.5000  8 Ce 3.37, 2 Si 3.40

ΔE_f (raw): -10.7 kcal/mol of atoms
Crystal system: tetragonal
ρ: 8.49 Mg/m³
Spin magnetization: 1.54 μB per cell

=====

Record 11
VASP calculation (GGA-PBE) on a geometry-optimized SrSc2AlFe structure.

Lattice parameters (Å, degrees): 4.8799 4.8799 4.8797 90.00 90.00 90.00
With the nearest neighbours (Å) after each atom.
Element x y z (fractional)
Sr  0.0000  0.0000  0.0000  8 Sc 3.45, 4 Al 3.45
Sc  0.0000  0.5000  0.5000  2 Fe 2.44
Sc  0.5000  0.0000  0.5000  2 Fe 2.44
Al  0.5000  0.5000  0.0000  2 Fe 2.44
Fe  0.5000  0.5000  0.5000  2 Al 2.44, 4 Sc 2.44

Calculated formation energy: -74 meV per atom
Crystal system: tetragonal
ρ: 3.72 Mg/m³
Spin magnetization: 0.00 μB per cell

=====

Record 12
VASP calculation (GGA-PBE) on a geometry-optimized TbCeTh2Sb5 structure.

Lattice parameters (Å, degrees): 5.2946 5.2946 11.6091 90.00 90.00 90.00
With the nearest neighbours (Å) after each atom.
Element x y z (fractional)
Tb  0.0000  0.0000  0.0000  6 Sb 2.65-2.91
Ce  0.0000  0.0000  0.5000  2 Sb 2.90
Th  0.5000  0.5000  0.1904  9 Sb 3.45-3.81
Th  0.5000  0.5000  0.8096  9 Sb 3.45-3.81
Sb  0.0000  0.0000  0.2503  1 Ce 2.90, 1 Tb 2.91
Sb  0.0000  0.0000  0.7497  1 Ce 2.90, 1 Tb 2.91
Sb  0.0000  0.5000  0.0000  2 Tb 2.65
Sb  0.5000  0.0000  0.0000  2 Tb 2.65
Sb  0.5000  0.5000  0.5000  2 Th 3.59, 4 Ce 3.74

ΔE_f (raw): -4.2 kcal/mol of atoms
Crystal system: tetragonal
ρ: 7.00 Mg/m³
Spin magnetization: 0.56 μB per cell

=====

Number 1: DOS at the Fermi energy 3.36 states/eV/f.u.. Number 2: DOS at the Fermi energy 4.08 states/eV/f.u.. Number 3: DOS at the Fermi energy 19.57 states/eV/f.u.. Number 4: DOS at the Fermi energy 4.21 states/eV/f.u.. Number 5: DOS at the Fermi energy 1.61 states/eV/f.u.. Number 6: DOS at the Fermi energy 1.19 states/eV/f.u.. Number 7: DOS at the Fermi energy 4.33 states/eV/f.u.. Number 8: DOS at the Fermi energy 3.76 states/eV/f.u.. Number 9: DOS at the Fermi energy 5.11 states/eV/f.u.. Number 10: DOS at the Fermi energy 7.38 states/eV/f.u.. Number 11: DOS at the Fermi energy 3.05 states/eV/f.u.. Number 12: DOS at the Fermi energy 8.57 states/eV/f.u..